(1)
VASP calculation (GGA-PBE) on a relaxed MgFeMo2 crystal.

Summary:
Energy relative to the elements: 306 meV/atom

Lattice parameters (Å, degrees): 5.2856 9.0576 2.6375 90.00 105.04 90.00
With the nearest neighbours (Å) after each atom.
Space group C2/m (No. 12)
Symmetry-distinct sites (fractional):
Mg1 0.0000 0.0000 0.0000 (multiplicity 2)  2 Mg 2.64, 2 Fe 2.64, 4 Mo 2.78
Fe1 0.0000 0.5000 0.0000 (multiplicity 2)  2 Fe 2.64, 2 Mg 2.64, 4 Mo 2.78
Mo1 0.2500 0.2500 0.5000 (multiplicity 4)  4 Mo 2.64, 2 Fe 2.78, 2 Mg 2.78

(2)
VASP calculation (GGA-PBE) on a relaxed RbLi3Rh crystal.

Summary:
Energy relative to the elements: 173 meV/atom
Excess energy over the best structure of this formula in the dataset: 0 meV per atom

Lattice parameters (Å, degrees): 4.9920 4.9920 4.9920 90.00 90.00 90.00
With the nearest neighbours (Å) after each atom.
Space group Pm-3m (No. 221)
Symmetry-distinct sites (fractional):
Rb1 0.0000 0.0000 0.0000 (multiplicity 1)  12 Li 3.53
Li1 0.0000 0.5000 0.5000 (multiplicity 3)  2 Rh 2.50
Rh1 0.5000 0.5000 0.5000 (multiplicity 1)  6 Li 2.50

(3)
VASP calculation (GGA-PBE) on a relaxed CeSbSe crystal.

Summary:
ΔE_f (raw): -0.902 eV/atom

Lattice parameters (Å, degrees): 4.7225 4.7225 10.7749 90.00 90.00 120.00
With the nearest neighbours (Å) after each atom.
Space group P-3m1 (No. 164)
Symmetry-distinct sites (fractional):
Ce1 0.0000 0.0000 0.2264 (multiplicity 2)  3 Se 2.95
Sb1 0.3333 0.6667 0.9609 (multiplicity 2)  3 Sb 2.85
Se1 0.3333 0.6667 0.3315 (multiplicity 2)  3 Ce 2.95

(4)
VASP calculation (GGA-PBE) on a relaxed SrHg2PbC crystal.

Summary:
Energy relative to the elements: 869 meV/atom

Lattice parameters (Å, degrees): 5.9213 5.9213 4.5435 90.00 90.00 90.00
With the nearest neighbours (Å) after each atom.
Space group P4/mmm (No. 123)
Symmetry-distinct sites (fractional):
Sr1 0.0000 0.0000 0.0000 (multiplicity 1)  8 Hg 3.73
Hg1 0.0000 0.5000 0.5000 (multiplicity 2)  2 Pb 2.96
Pb1 0.5000 0.5000 0.5000 (multiplicity 1)  2 C 2.27
C1 0.5000 0.5000 0.0000 (multiplicity 1)  2 Pb 2.27

(5)
VASP calculation (GGA-PBE) on a relaxed SrP2Se crystal.

Summary:
ΔE_f (raw): -0.097 eV/atom

Lattice parameters (Å, degrees): 3.9801 3.9801 20.5831 90.00 90.00 120.00
With the nearest neighbours (Å) after each atom.
Space group R-3m (No. 166, hexagonal axes)
Symmetry-distinct sites (fractional):
Sr1 0.0000 0.0000 0.0000 (multiplicity 3)  6 P 3.08
P1 0.0000 0.0000 0.2338 (multiplicity 6)  3 Se 2.68
Se1 0.0000 0.0000 0.5000 (multiplicity 3)  6 P 2.68

(6)
VASP calculation (GGA-PBE) on a relaxed ErV2Mo crystal.

Summary:
Energy relative to the elements: 437 meV/atom
Excess energy over the best structure of this formula in the dataset: 234 meV per atom

Lattice parameters (Å, degrees): 3.0756 3.0756 26.1481 90.00 90.00 120.00
With the nearest neighbours (Å) after each atom.
Space group R-3m (No. 166, hexagonal axes)
Symmetry-distinct sites (fractional):
Er1 0.0000 0.0000 0.0000 (multiplicity 3)  6 Er 3.08, 6 V 3.08
V1 0.0000 0.0000 0.2370 (multiplicity 6)  3 Mo 2.56
Mo1 0.0000 0.0000 0.5000 (multiplicity 3)  6 V 2.56